PaTiGe | Alexandria via LeMat-Bulk | PBE | optimized geometry; energy of formation from the pure elements = -0.398 eV/atom; offset from the most stable computed form = 0.000 eV per atom; total moment = 1.2 μB/f.u.; VASP energy = -46.4 eV/cell; SG = I4/mmm
1.0
3.9131 0.0000 -1.0204
-0.2661 3.9040 -1.0204
0.0308 0.0329 8.1311
Pa Ti Ge
2 2 2
direct
0.6755 0.6755 0.3510
0.3245 0.3245 0.6490
0.0000 0.5000 0.0000
0.5000 0.0000 0.0000
0.8778 0.8778 0.7557
0.1222 0.1222 0.2443